Density functional theory data (PBE-GGA) for an optimized crystal structure of Nd4Zn3Cd2.

```
Nd4Zn3Cd2
1.0
-1.510 4.425 -1.892
-5.499 1.414 0.973
-0.160 3.563 8.457
Nd Zn Cd
4 3 2
Direct
0.358 0.284 0.101
0.070 0.859 0.351
0.642 0.716 0.899
0.930 0.141 0.649
0.374 0.252 0.444
0.626 0.748 0.556
0.000 0.000 0.000
0.266 0.467 0.721
0.734 0.533 0.279
```

Values from the calculation:
Calculated total energy ... -3.01 eV/atom
DOS at the Fermi energy ... 1.062 states/eV/atom
Calculated volume ... 25.4 Å³ per atom
Formation enthalpy at 0 K ... -0.26 eV/atom